Material: UCdTcO6
Method: DFT, PBE
State: relaxed

Its space group is P-31c, No. 163. The theoretical density comes out at 7.2 Mg/m³. As for the crystal system: trigonal. Its raw total energy is -70.67 eV per formula unit.

Lattice parameters (Å, degrees): 5.4530 5.4530 9.7323 90.00 90.00 120.00
Positions (direct):
U: 0.3333 0.6667 0.2500
U: 0.6667 0.3333 0.7500
Cd: 0.0000 0.0000 0.0000
Cd: 0.0000 0.0000 0.5000
Tc: 0.3333 0.6667 0.7500
Tc: 0.6667 0.3333 0.2500
O: 0.0107 0.3611 0.6387
O: 0.0107 0.6496 0.8613
O: 0.3504 0.3611 0.8613
O: 0.3504 0.9893 0.6387
O: 0.3611 0.0107 0.1387
O: 0.3611 0.3504 0.3613
O: 0.6389 0.6496 0.6387
O: 0.6389 0.9893 0.8613
O: 0.6496 0.0107 0.3613
O: 0.6496 0.6389 0.1387
O: 0.9893 0.3504 0.1387
O: 0.9893 0.6389 0.3613